<w>
RbNa2H at its PBEsol-relaxed geometry. Source: Alexandria, functional SCAN.

Cell: 7.500 7.500 7.500 Å, 60.00 60.00 60.00°
Atoms (fractional coordinates):
Na (0.125, 0.125, 0.625)
Na (0.125, 0.125, 0.125)
Na (0.625, 0.125, 0.125)
Na (0.125, 0.625, 0.125)
Rb (0.750, 0.750, 0.750)
Rb (0.500, 0.500, 0.500)
H (0.250, 0.250, 0.250)
H (0.000, 0.000, 0.000)

Summary:
Size of the total moment, μB/cell: 0.9
Fermi-level density of states, states/eV/f.u.: 2.6
Space-group type: No. 227


<x>
RbNa2H at its PBEsol-relaxed geometry. Source: Alexandria, functional SCAN.

Cell: 5.816 5.816 5.816 Å, 60.00 60.00 60.00°
Atoms (fractional coordinates):
Na (0.250, 0.250, 0.250)
Na (0.750, 0.750, 0.750)
Rb (0.500, 0.500, 0.500)
H (0.000, 0.000, 0.000)

Summary:
Size of the total moment, μB/cell: 0.0
Fermi-level density of states, states/eV/f.u.: 1.4
Space-group type: No. 225


The least stable of the structures above is <x>, whereas <w> is the most stable.